# 1
DFT (PBE) results for a geometry-optimized TlAgAu3 structure.

The structure belongs to space group Pm-3m (No. 221); the cell edges are 5.192, 5.192 and 5.192 Å and the angles 90.00°, 90.00° and 90.00°. The distinct sites, in fractional coordinates, are Tl at (0.000, 0.000, 0.000), Ag at (0.500, 0.500, 0.500) and Au at (0.000, 0.500, 0.500).

Its density of states at the Fermi level is 0.294 states/eV per atom.

# 2
DFT (PBE) results for a geometry-optimized TlAgAu3 structure.

The structure belongs to space group P2_1/m (No. 11); the cell edges are 5.509, 4.794 and 7.929 Å and the angles 90.00°, 107.90° and 90.00°. The distinct sites, in fractional coordinates, are Tl at (0.033, 0.250, 0.311), Ag at (0.432, 0.250, 0.095), Au at (0.110, 0.750, 0.106), Au at (0.332, 0.250, 0.724) and Au at (0.362, 0.750, 0.512).

Its density of states at the Fermi level is 0.379 states/eV per atom.

# 3
DFT (PBE) results for a geometry-optimized TlAgAu14 structure.

The structure belongs to space group P4/mmm (No. 123); the cell edges are 6.065, 6.065 and 8.031 Å and the angles 90.00°, 90.00° and 90.00°. The distinct sites, in fractional coordinates, are Tl at (0.000, 0.000, 0.000), Ag at (0.500, 0.500, 0.000), Au at (0.000, 0.000, 0.500), Au at (0.000, 0.500, 0.000), Au at (0.000, 0.500, 0.500), Au at (0.253, 0.253, 0.254) and Au at (0.500, 0.500, 0.500).

Its density of states at the Fermi level is 0.247 states/eV per atom.

| no. | formation energy (meV/atom) |
| --- | --- |
| 1 | 454 |
| 2 | 36 |
| 3 | 19 |